w) A relaxed structure of Al2P2Ir, computed with GGA-PBE.

Unit cell a=6.580 b=6.580 c=3.523 alpha=90.00 beta=90.00 gamma=90.00
Space group P4/mbm (No. 127)
One atom of each set of equivalent atoms:
Al (0.143, 0.357, 0.000)
P (0.172, 0.672, 0.500)
Ir (0.000, 0.000, 0.500)


x) A relaxed structure of Al2P2Ir, computed with GGA-PBE.

Unit cell a=4.740 b=4.740 c=7.099 alpha=90.00 beta=90.00 gamma=90.00
Space group I4/mmm (No. 139)
One atom of each set of equivalent atoms:
Al (0.000, 0.500, 0.250)
P (0.000, 0.000, 0.162)
Ir (0.000, 0.000, 0.500)


Least stable = x)


w) A relaxed structure of PaAl2Ir, computed with GGA-PBE.

Unit cell a=4.295 b=9.777 c=7.100 alpha=90.00 beta=90.00 gamma=90.00
Space group Cmcm (No. 63)
One atom of each set of equivalent atoms:
Pa (0.000, 0.076, 0.250)
Al (0.000, 0.363, 0.054)
Ir (0.000, 0.210, 0.750)


x) A relaxed structure of PaAl2Ir, computed with GGA-PBE.

Unit cell a=4.2342 b=4.2342 c=14.8707 alpha=90.00 beta=90.00 gamma=120.00
Space group R-3m (No. 166, hexagonal axes)
One atom of each set of equivalent atoms:
Pa (0.0000, 0.0000, 0.0000)
Al (0.0000, 0.0000, 0.2113)
Ir (0.0000, 0.0000, 0.5000)


Least stable = x)


w) A relaxed structure of AlIrPb3, computed with GGA-PBE.

Unit cell a=5.234 b=5.234 c=5.234 alpha=90.00 beta=90.00 gamma=90.00
Space group Pm-3m (No. 221)
One atom of each set of equivalent atoms:
Al (0.000, 0.000, 0.000)
Ir (0.500, 0.500, 0.500)
Pb (0.000, 0.000, 0.500)


x) A relaxed structure of AlIrPb3, computed with GGA-PBE.

Unit cell a=5.332 b=5.332 c=5.332 alpha=90.00 beta=90.00 gamma=90.00
Space group Pm-3m (No. 221)
One atom of each set of equivalent atoms:
Al (0.000, 0.000, 0.000)
Ir (0.500, 0.500, 0.500)
Pb (0.000, 0.500, 0.500)


Least stable = w)


w) A relaxed structure of Al2IrPd2, computed with GGA-PBE.

Unit cell a=7.297 b=7.297 c=2.795 alpha=90.00 beta=90.00 gamma=90.00
Space group P4/mbm (No. 127)
One atom of each set of equivalent atoms:
Al (0.170, 0.330, 0.000)
Ir (0.000, 0.000, 0.500)
Pd (0.131, 0.631, 0.500)


x) A relaxed structure of Al2IrPd2, computed with GGA-PBE.

Unit cell a=2.958 b=16.943 c=2.957 alpha=90.00 beta=90.00 gamma=90.00
Space group Cmmm (No. 65)
One atom of each set of equivalent atoms:
Al (0.000, 0.093, 0.000)
Ir (0.000, 0.500, 0.500)
Pd (0.000, 0.320, 0.500)


Least stable = w)


w) A relaxed structure of PmAlIr, computed with GGA-PBE.

Unit cell a=7.418 b=4.601 c=7.137 alpha=90.00 beta=90.00 gamma=90.00
Space group Pnma (No. 62)
One atom of each set of equivalent atoms:
Pm (0.028, 0.250, 0.185)
Al (0.186, 0.250, 0.609)
Ir (0.155, 0.750, 0.430)


x) A relaxed structure of PmAlIr, computed with GGA-PBE.

Unit cell a=3.660 b=11.369 c=5.935 alpha=90.00 beta=90.00 gamma=90.00
Space group Cmcm (No. 63)
One atom of each set of equivalent atoms:
Pm (0.000, 0.183, 0.250)
Al (0.000, 0.089, 0.750)
Ir (0.000, 0.500, 0.000)


Least stable = x)


w) A relaxed structure of PmAlIr, computed with GGA-PBE.

Unit cell a=3.205 b=3.205 c=11.541 alpha=90.00 beta=90.00 gamma=90.00
Space group I4mm (No. 107)
One atom of each set of equivalent atoms:
Pm (0.000, 0.000, 0.000)
Al (0.000, 0.000, 0.288)
Ir (0.000, 0.000, 0.681)


x) A relaxed structure of PmAlIr, computed with GGA-PBE.

Unit cell a=6.531 b=6.531 c=6.531 alpha=90.00 beta=90.00 gamma=90.00
Space group F-43m (No. 216)
One atom of each set of equivalent atoms:
Pm (0.000, 0.000, 0.000)
Al (0.000, 0.000, 0.500)
Ir (0.250, 0.250, 0.250)


y) A relaxed structure of PmAlIr, computed with GGA-PBE.

Unit cell a=4.3178 b=4.3178 c=4.0126 alpha=90.00 beta=90.00 gamma=120.00
Space group P-6m2 (No. 187)
One atom of each set of equivalent atoms:
Pm (0.0000, 0.0000, 0.0000)
Al (0.6667, 0.3333, 0.5000)
Ir (0.3333, 0.6667, 0.5000)


Least stable = x)


w) A relaxed structure of Pm2AlIr3, computed with GGA-PBE.

Unit cell a=4.191 b=5.468 c=11.168 alpha=90.00 beta=90.00 gamma=90.00
Space group Immm (No. 71)
One atom of each set of equivalent atoms:
Pm (0.000, 0.000, 0.183)
Al (0.000, 0.000, 0.500)
Ir (0.000, 0.500, 0.122)
Ir (0.000, 0.500, 0.500)


x) A relaxed structure of Pm2AlIr3, computed with GGA-PBE.

Unit cell a=5.6635 b=5.6635 c=12.1728 alpha=90.00 beta=90.00 gamma=120.00
Space group R-3m (No. 166, hexagonal axes)
One atom of each set of equivalent atoms:
Pm (0.0000, 0.0000, 0.1263)
Al (0.0000, 0.0000, 0.5000)
Ir (0.0000, 0.5000, 0.0000)


Least stable = w)


w) A relaxed structure of Pm3AlIr3, computed with GGA-PBE.

Unit cell a=4.147 b=10.595 c=14.025 alpha=90.00 beta=90.00 gamma=90.00
Space group Cmcm (No. 63)
One atom of each set of equivalent atoms:
Pm (0.000, 0.011, 0.250)
Pm (0.000, 0.291, 0.107)
Al (0.000, 0.000, 0.000)
Ir (0.000, 0.274, 0.750)
Ir (0.000, 0.421, 0.588)


x) A relaxed structure of Pm3AlIr3, computed with GGA-PBE.

Unit cell a=8.5986 b=8.5986 c=5.7224 alpha=90.00 beta=90.00 gamma=120.00
Space group P6_3/m (No. 176)
One atom of each set of equivalent atoms:
Pm (0.0505, 0.3514, 0.2500)
Al (0.3333, 0.6667, 0.7500)
Ir (0.0604, 0.3785, 0.7500)


Least stable = x)


w) A relaxed structure of PmAl2Ir, computed with GGA-PBE.

Unit cell a=4.220 b=10.598 c=7.182 alpha=90.00 beta=90.00 gamma=90.00
Space group Cmcm (No. 63)
One atom of each set of equivalent atoms:
Pm (0.000, 0.062, 0.250)
Al (0.000, 0.338, 0.057)
Ir (0.000, 0.215, 0.750)


x) A relaxed structure of PmAl2Ir, computed with GGA-PBE.

Unit cell a=4.2384 b=4.2384 c=15.7618 alpha=90.00 beta=90.00 gamma=120.00
Space group R-3m (No. 166, hexagonal axes)
One atom of each set of equivalent atoms:
Pm (0.0000, 0.0000, 0.0000)
Al (0.0000, 0.0000, 0.2071)
Ir (0.0000, 0.0000, 0.5000)


y) A relaxed structure of PmAl2Ir, computed with GGA-PBE.

Unit cell a=3.118 b=3.118 c=7.633 alpha=90.00 beta=90.00 gamma=90.00
Space group P4/mmm (No. 123)
One atom of each set of equivalent atoms:
Pm (0.000, 0.000, 0.000)
Al (0.500, 0.500, 0.310)
Ir (0.000, 0.000, 0.500)


Least stable = y)


w) A relaxed structure of PmAl2Ir, computed with GGA-PBE.

Unit cell a=15.367 b=7.051 c=5.845 alpha=90.00 beta=90.00 gamma=90.00
Space group Pnma (No. 62)
One atom of each set of equivalent atoms:
Pm (0.100, 0.250, 0.249)
Pm (0.138, 0.750, 0.032)
Al (0.045, 0.061, 0.731)
Al (0.209, 0.554, 0.551)
Ir (0.069, 0.750, 0.506)
Ir (0.190, 0.250, 0.786)


x) A relaxed structure of PmAl2Ir, computed with GGA-PBE.

Unit cell a=6.610 b=6.610 c=6.610 alpha=90.00 beta=90.00 gamma=90.00
Space group Fm-3m (No. 225)
One atom of each set of equivalent atoms:
Pm (0.000, 0.000, 0.000)
Al (0.250, 0.250, 0.250)
Ir (0.000, 0.000, 0.500)


Least stable = x)


w) A relaxed structure of Pm4AlIr, computed with GGA-PBE.

Unit cell a=13.860 b=13.860 c=13.860 alpha=90.00 beta=90.00 gamma=90.00
Space group F-43m (No. 216)
One atom of each set of equivalent atoms:
Pm (0.000, 0.000, 0.188)
Pm (0.055, 0.250, 0.750)
Pm (0.101, 0.101, 0.399)
Al (0.175, 0.175, 0.175)
Ir (0.109, 0.109, 0.609)


x) A relaxed structure of Pm4AlIr, computed with GGA-PBE.

Unit cell a=7.161 b=7.161 c=14.177 alpha=90.00 beta=90.00 gamma=90.00
Space group I4_1/amd (No. 141, origin choice 2)
One atom of each set of equivalent atoms:
Pm (0.234, 0.000, 0.000)
Al (0.000, 0.250, 0.375)
Ir (0.000, 0.250, 0.875)


Least stable = x)